1.
Material: AcB4
Method: DFT, PBE
State: optimized geometry

calculated formation energy	3423	meV per atom
energy above the most stable polymorph in this dataset	3844.1	meV per atom

Cell lengths 5.154, 5.154, 5.154 Å; angles 90.00, 90.00, 90.00 degrees
Last column: magnetic moment on the atom in μB.
Positions (direct):
B (0.000, 0.500, 0.500)  0.16
B (0.000, 0.000, 0.000)  0.01
B (0.500, 0.500, 0.000)  0.16
B (0.500, 0.000, 0.500)  0.16
Ac (0.500, 0.500, 0.500)  0.25


2.
Material: AcAlPb2
Method: DFT, PBE
State: optimized geometry

calculated formation energy	-273	meV per atom
energy above the most stable polymorph in this dataset	0.0	meV per atom

Cell lengths 5.041, 4.874, 4.874 Å; angles 90.00, 90.00, 90.00 degrees
Positions (direct):
Pb (0.000, 0.500, 0.000)
Pb (0.000, 0.000, 0.500)
Ac (0.500, 0.500, 0.500)
Al (0.500, 0.000, 0.000)


3.
Material: Cs3SeF6
Method: DFT, PBE
State: optimized geometry

uncorrected formation energy	-2.247	eV/atom
energy above the most stable polymorph in this dataset	0.0	meV per atom

Cell lengths 6.469, 6.470, 11.333 Å; angles 90.00, 89.96, 90.00 degrees
Last column: magnetic moment on the atom in μB.
Positions (direct):
F (0.711, 0.089, 0.999)  0.03
F (0.211, 0.411, 0.499)  0.03
F (0.789, 0.589, 0.501)  0.03
F (0.498, 0.498, 0.746)  0.09
F (0.998, 0.002, 0.246)  0.09
F (0.589, 0.211, 0.500)  0.03
F (0.002, 0.998, 0.754)  0.09
F (0.289, 0.911, 0.001)  0.03
F (0.502, 0.502, 0.254)  0.09
F (0.411, 0.789, 0.500)  0.03
F (0.089, 0.289, 0.000)  0.03
F (0.911, 0.711, 0.000)  0.03
Cs (0.500, 0.001, 0.250)  0.00
Cs (0.500, 0.999, 0.750)  0.00
Cs (0.000, 0.501, 0.250)  0.00
Cs (0.000, 0.000, 0.500)  0.00
Cs (0.000, 0.499, 0.750)  0.00
Cs (0.500, 0.500, 0.000)  0.00
Se (0.000, 0.000, 0.000)  0.49
Se (0.500, 0.500, 0.500)  0.49


4.
Material: Dy5Zn4Cd
Method: DFT, PBE
State: optimized geometry

calculated formation energy	-337	meV per atom

Cell lengths 3.577, 3.577, 18.283 Å; angles 90.00, 90.00, 90.00 degrees
Positions (direct):
Cd (0.000, 0.000, 0.000)
Zn (0.000, 0.000, 0.403)
Zn (0.000, 0.000, 0.792)
Zn (0.000, 0.000, 0.597)
Zn (0.000, 0.000, 0.208)
Dy (0.500, 0.500, 0.113)
Dy (0.500, 0.500, 0.694)
Dy (0.500, 0.500, 0.306)
Dy (0.500, 0.500, 0.500)
Dy (0.500, 0.500, 0.887)


5.
Material: NdPuH2
Method: DFT, PBE
State: optimized geometry

energy above the most stable polymorph in this dataset	0.0	meV per atom

Cell lengths 3.536, 3.536, 6.184 Å; angles 73.39, 73.39, 60.00 degrees
Last column: magnetic moment on the atom in μB.
Positions (direct):
Nd (0.000, 0.000, 0.000)  0.02
Pu (0.500, 0.500, 0.500)  5.43
H (0.250, 0.250, 0.251)  -0.01
H (0.750, 0.750, 0.749)  -0.01


6.
Material: K4Rb12Au
Method: DFT, PBE
State: optimized geometry

calculated formation energy	268	meV per atom

Cell lengths 14.331, 14.331, 14.331 Å; angles 109.47, 109.47, 109.47 degrees
Last column: magnetic moment on the atom in μB.
Positions (direct):
K (0.500, 0.500, 0.500)  0.00
K (0.500, 0.000, 0.000)  0.00
K (0.000, 0.000, 0.500)  0.00
K (0.000, 0.500, 0.000)  0.00
Rb (0.350, 0.650, 0.000)  0.00
Rb (0.650, 0.301, 0.650)  0.00
Rb (0.350, 0.000, 0.650)  0.00
Rb (0.650, 0.000, 0.350)  0.00
Rb (0.350, 0.350, 0.699)  0.00
Rb (0.350, 0.699, 0.350)  0.00
Rb (0.650, 0.650, 0.301)  0.00
Rb (0.000, 0.350, 0.650)  0.00
Rb (0.000, 0.650, 0.350)  0.00
Rb (0.699, 0.350, 0.350)  0.00
Rb (0.650, 0.350, 0.000)  0.00
Rb (0.301, 0.650, 0.650)  0.00
Au (0.000, 0.000, 0.000)  0.06